Entry 1:
Entry from the Alexandria database: BaErPb6 after structural relaxation (GGA-PBE). Values from VASP.

* N(E_F): 3.8 states/eV per cell
* energy of formation: -0.310 eV per atom
* energy: -3.902 eV per atom
* crystal system: tetragonal
* mass density: 10.25 g/cm³

```
&SYSTEM
  ibrav = 0, nat = 8, ntyp = 3
/
ATOMIC_SPECIES
Ba 137.33 Ba.upf
Er 167.26 Er.upf
Pb 207.20 Pb.upf
CELL_PARAMETERS angstrom
5.0846 0.0000 0.0000
0.0000 5.0846 0.0000
0.0000 0.0000 9.6942
ATOMIC_POSITIONS crystal
Ba 0.0000 0.0000 0.0000
Er 0.0000 0.0000 0.5000
Pb 0.0000 0.5000 0.2660
Pb 0.0000 0.5000 0.7340
Pb 0.5000 0.0000 0.2660
Pb 0.5000 0.0000 0.7340
Pb 0.5000 0.5000 0.0000
Pb 0.5000 0.5000 0.5000
```



Entry 2:
Entry from the Alexandria database: DyB2 after structural relaxation (GGA-PBE). Values from VASP.

* N(E_F): 0.9 states/eV per cell
* energy of formation: -0.566 eV per atom
* energy: -6.552 eV per atom
* crystal system: hexagonal
* mass density: 8.41 g/cm³

```
&SYSTEM
  ibrav = 0, nat = 3, ntyp = 2
/
ATOMIC_SPECIES
Dy 162.50 Dy.upf
B 10.81 B.upf
CELL_PARAMETERS angstrom
3.2931 0.0000 0.0000
-1.6466 2.8519 0.0000
0.0000 0.0000 3.8732
ATOMIC_POSITIONS crystal
Dy 0.0000 0.0000 0.0000
B 0.3333 0.6667 0.5000
B 0.6667 0.3333 0.5000
```



Entry 3:
Entry from the Alexandria database: AcGa3RuRh after structural relaxation (GGA-PBE). Values from VASP.

* N(E_F): 5.5 states/eV per cell
* energy of formation: -0.457 eV per atom
* energy: -5.426 eV per atom
* crystal system: orthorhombic
* mass density: 8.13 g/cm³

```
&SYSTEM
  ibrav = 0, nat = 12, ntyp = 4
/
ATOMIC_SPECIES
Ac 227.00 Ac.upf
Ga 69.72 Ga.upf
Ru 101.07 Ru.upf
Rh 102.91 Rh.upf
CELL_PARAMETERS angstrom
3.8395 -5.5309 0.0000
3.8395 5.5309 0.0000
0.0000 0.0000 6.1550
ATOMIC_POSITIONS crystal
Ac 0.2403 0.7597 0.7500
Ac 0.7597 0.2403 0.2500
Ga 0.2470 0.2470 0.0000
Ga 0.2470 0.2470 0.5000
Ga 0.2603 0.7397 0.2500
Ga 0.7397 0.2603 0.7500
Ga 0.7530 0.7530 0.0000
Ga 0.7530 0.7530 0.5000
Ru 0.0487 0.9513 0.2500
Ru 0.9513 0.0487 0.7500
Rh 0.4727 0.5273 0.2500
Rh 0.5273 0.4727 0.7500
```



Entry 4:
Entry from the Alexandria database: Zn2FeTe after structural relaxation (GGA-PBE). Values from VASP.

* N(E_F): 3.5 states/eV per cell
* energy: -3.204 eV per atom
* energy relative to the elements, uncorrected: 334 meV/atom
* crystal system: orthorhombic
* mass density: 7.52 g/cm³

```
&SYSTEM
  ibrav = 0, nat = 4, ntyp = 3
/
ATOMIC_SPECIES
Zn 65.41 Zn.upf
Fe 55.84 Fe.upf
Te 127.60 Te.upf
CELL_PARAMETERS angstrom
-1.8969 2.2283 4.1034
1.8969 -2.2283 4.1034
1.8969 2.2283 -4.1034
ATOMIC_POSITIONS crystal
Zn 0.0000 0.0000 0.0000
Zn 0.7564 0.2564 0.5000
Fe 0.5211 0.5211 0.0000
Te 0.2650 0.7650 0.5000
```



Entry 5:
Entry from the Alexandria database: VGeMo after structural relaxation (GGA-PBE). Values from VASP.

* N(E_F): 5.3 states/eV per cell
* energy of formation: 0.123 eV per atom
* energy: -8.066 eV per atom
* crystal system: orthorhombic
* mass density: 8.07 g/cm³

```
&SYSTEM
  ibrav = 0, nat = 6, ntyp = 3
/
ATOMIC_SPECIES
V 50.94 V.upf
Ge 72.64 Ge.upf
Mo 95.94 Mo.upf
CELL_PARAMETERS angstrom
1.5520 -8.1554 0.0000
1.5520 8.1554 0.0000
0.0000 0.0000 3.5697
ATOMIC_POSITIONS crystal
V 0.0434 0.9566 0.7500
V 0.9566 0.0434 0.2500
Ge 0.2047 0.7953 0.7500
Ge 0.7953 0.2047 0.2500
Mo 0.3763 0.6237 0.7500
Mo 0.6237 0.3763 0.2500
```



Entry 6:
Entry from the Alexandria database: AcSn2Os after structural relaxation (GGA-PBE). Values from VASP.

* N(E_F): 3.2 states/eV per cell
* energy of formation: -0.201 eV per atom
* energy: -6.037 eV per atom
* crystal system: trigonal
* mass density: 10.42 g/cm³

```
&SYSTEM
  ibrav = 0, nat = 4, ntyp = 3
/
ATOMIC_SPECIES
Ac 227.00 Ac.upf
Sn 118.71 Sn.upf
Os 190.23 Os.upf
CELL_PARAMETERS angstrom
2.2869 1.3203 5.7563
-2.2869 1.3203 5.7563
0.0000 -2.6407 5.7563
ATOMIC_POSITIONS crystal
Ac 0.0000 0.0000 0.0000
Sn 0.2152 0.2152 0.2152
Sn 0.7848 0.7848 0.7848
Os 0.5000 0.5000 0.5000
```



Entry 7:
Entry from the Alexandria database: Rb2TaI6Cl after structural relaxation (GGA-PBE). Values from VASP.

* N(E_F): 0.0 states/eV per cell
* energy: -3.278 eV per atom
* energy relative to the elements, uncorrected: -785 meV/atom
* crystal system: cubic
* mass density: 4.08 g/cm³

```
&SYSTEM
  ibrav = 0, nat = 10, ntyp = 4
/
ATOMIC_SPECIES
Rb 85.47 Rb.upf
Ta 180.95 Ta.upf
I 126.90 I.upf
Cl 35.45 Cl.upf
CELL_PARAMETERS angstrom
0.0000 6.1579 6.1579
6.1579 0.0000 6.1579
6.1579 6.1579 0.0000
ATOMIC_POSITIONS crystal
Rb 0.2500 0.2500 0.2500
Rb 0.7500 0.7500 0.7500
Ta 0.0000 0.0000 0.0000
I 0.2262 0.2262 0.7738
I 0.2262 0.7738 0.2262
I 0.2262 0.7738 0.7738
I 0.7738 0.2262 0.2262
I 0.7738 0.2262 0.7738
I 0.7738 0.7738 0.2262
Cl 0.5000 0.5000 0.5000
```



Entry 8:
Entry from the Alexandria database: CrTe2I after structural relaxation (GGA-PBE). Values from VASP.

* N(E_F): 0.0 states/eV per cell
* energy: -4.338 eV per atom
* energy relative to the elements, uncorrected: 26 meV/atom
* crystal system: triclinic
* mass density: 5.22 g/cm³

```
&SYSTEM
  ibrav = 0, nat = 8, ntyp = 3
/
ATOMIC_SPECIES
Cr 52.00 Cr.upf
Te 127.60 Te.upf
I 126.90 I.upf
CELL_PARAMETERS angstrom
6.5129 0.0000 0.0000
1.8573 6.3638 0.0000
2.2808 1.1871 6.6667
ATOMIC_POSITIONS crystal
Cr 0.0000 0.0000 0.0000
Cr 0.1531 0.2085 0.9735
Te 0.0092 0.3116 0.3489
Te 0.2451 0.7026 0.2211
Te 0.2688 0.0667 0.6295
Te 0.8258 0.9217 0.4030
I 0.6020 0.1833 0.9259
I 0.9133 0.5838 0.8848
```